Material: ReMo2W6
Method: DFT, PBE
State: relaxed

Geometry as POSCAR:
```
ReMo2W6
1.0
6.443 0.667 0.386
1.000 5.227 -0.121
1.000 2.499 4.592
W Mo Re
6 2 1
Direct
0.583 0.155 0.155 W
0.213 0.416 0.900 W
0.787 0.584 0.100 W
0.787 0.100 0.584 W
0.417 0.845 0.845 W
0.213 0.900 0.416 W
0.203 0.407 0.407 Mo
0.797 0.593 0.593 Mo
0.000 0.000 0.000 Re
```

As for the symmetry: C2/m, No. 12. Its formation energy is 0.46 eV/atom. The density of states at the Fermi level is 5.4 states/eV/f.u.

---

Material: SmHfPt
Method: DFT, PBE
State: relaxed

Geometry as POSCAR:
```
SmHfPt
1.0
4.649 0.000 0.000
0.000 4.649 0.000
0.000 0.000 6.816
Hf Sm Pt
2 2 2
Direct
0.000 0.000 0.500 Hf
0.500 0.500 0.500 Hf
0.500 0.000 0.125 Sm
0.000 0.500 0.875 Sm
0.500 0.000 0.701 Pt
0.000 0.500 0.299 Pt
```

As for the symmetry: P4/nmm, No. 129. Its formation energy is -0.86 eV/atom. The density of states at the Fermi level is 2.8 states/eV/f.u.

---

Material: Er2NpAl2Ru5
Method: DFT, PBE
State: relaxed

Geometry as POSCAR:
```
Er2NpAl2Ru5
1.0
3.348 0.000 0.000
0.000 10.137 0.000
0.000 0.000 10.137
Al Np Ru Er
4 2 10 4
Direct
0.000 0.873 0.373 Al
0.000 0.627 0.873 Al
0.000 0.127 0.627 Al
0.000 0.373 0.127 Al
0.000 0.500 0.500 Np
0.000 0.000 0.000 Np
0.500 0.301 0.568 Ru
0.500 0.500 0.000 Ru
0.500 0.199 0.068 Ru
0.500 0.000 0.500 Ru
0.500 0.801 0.932 Ru
0.500 0.068 0.801 Ru
0.500 0.432 0.301 Ru
0.500 0.568 0.699 Ru
0.500 0.932 0.199 Ru
0.500 0.699 0.432 Ru
0.000 0.169 0.331 Er
0.000 0.331 0.831 Er
0.000 0.831 0.669 Er
0.000 0.669 0.169 Er
```

As for the symmetry: P4/mbm, No. 127. Its formation energy is -0.47 eV/atom. The density of states at the Fermi level is 6.8 states/eV/f.u.

---

Material: Cs3SbBr6
Method: DFT, PBE
State: relaxed

Geometry as POSCAR:
```
Cs3SbBr6
1.0
-0.815 8.101 2.309
1.776 -2.245 8.504
11.837 1.766 -2.006
Cs Sb Br
6 2 12
Direct
0.026 0.571 0.250 Cs
0.526 0.929 0.750 Cs
0.474 0.071 0.250 Cs
0.500 0.500 0.000 Cs
0.974 0.429 0.750 Cs
0.000 0.000 0.500 Cs
0.000 0.000 0.000 Sb
0.500 0.500 0.500 Sb
0.729 0.173 0.949 Br
0.271 0.827 0.051 Br
0.163 0.264 0.065 Br
0.888 0.957 0.218 Br
0.229 0.327 0.449 Br
0.337 0.764 0.435 Br
0.837 0.736 0.935 Br
0.112 0.043 0.782 Br
0.663 0.236 0.565 Br
0.388 0.543 0.718 Br
0.771 0.673 0.551 Br
0.612 0.457 0.282 Br
```

As for the symmetry: P2_1/c, No. 14. The value obtained for the energy relative to the elements, uncorrected is -1.36 eV/atom. The density of states at the Fermi level is 0.0 states/eV/f.u.

---

Material: Na2As2Pt
Method: DFT, PBE
State: relaxed

Geometry as POSCAR:
```
Na2As2Pt
1.0
-2.942 1.197 -3.042
-0.041 -3.517 -4.524
-7.747 -4.332 2.610
Na As Pt
4 4 2
Direct
0.086 0.723 0.105 Na
0.319 0.675 0.687 Na
0.914 0.277 0.895 Na
0.681 0.325 0.313 Na
0.374 0.140 0.113 As
0.908 0.736 0.448 As
0.626 0.860 0.887 As
0.092 0.264 0.552 As
0.375 0.899 0.350 Pt
0.625 0.101 0.650 Pt
```

As for the symmetry: C2/m, No. 12. Its formation energy is -0.44 eV/atom. The density of states at the Fermi level is 2.4 states/eV/f.u.

---

Material: ThGaO
Method: DFT, PBE
State: relaxed

Geometry as POSCAR:
```
ThGaO
1.0
-0.698 -1.776 -3.136
3.467 0.449 1.122
-0.607 -10.468 6.063
Th O Ga
2 2 2
Direct
0.222 0.445 0.795 Th
0.222 0.445 0.205 Th
0.556 0.111 0.716 O
0.556 0.111 0.284 O
0.556 0.112 0.000 Ga
0.555 0.109 0.500 Ga
```

As for the symmetry: Amm2, No. 38. The value obtained for the energy relative to the elements, uncorrected is -1.50 eV/atom. The density of states at the Fermi level is 2.0 states/eV/f.u.

---

Material: Ce2Th2Sn
Method: DFT, PBE
State: relaxed

Geometry as POSCAR:
```
Ce2Th2Sn
1.0
5.466 0.000 0.000
-2.733 4.733 0.000
0.000 0.000 12.388
Ce Th Sn
4 4 2
Direct
0.333 0.667 0.595 Ce
0.667 0.333 0.095 Ce
0.333 0.667 0.905 Ce
0.667 0.333 0.405 Ce
0.000 0.000 0.500 Th
0.333 0.667 0.250 Th
0.000 0.000 0.000 Th
0.667 0.333 0.750 Th
0.000 0.000 0.250 Sn
0.000 0.000 0.750 Sn
```

As for the symmetry: P6_3/mmc, No. 194. Its formation energy is 0.07 eV/atom. The density of states at the Fermi level is 15.3 states/eV/f.u.

---

Material: Pm2MgCo9
Method: DFT, PBE
State: relaxed

Geometry as POSCAR:
```
Pm2MgCo9
1.0
4.944 0.000 0.000
2.472 4.281 0.000
2.472 1.427 8.245
Mg Co Pm
1 9 2
Direct
0.000 0.000 0.000 Mg
0.080 0.578 0.764 Co
0.666 0.666 0.001 Co
0.578 0.578 0.764 Co
0.334 0.334 0.999 Co
0.920 0.422 0.236 Co
0.422 0.920 0.236 Co
0.578 0.080 0.764 Co
0.500 0.500 0.500 Co
0.422 0.422 0.236 Co
0.863 0.863 0.412 Pm
0.137 0.137 0.588 Pm
```

As for the symmetry: R-3m, No. 166. Its formation energy is 0.01 eV/atom. The density of states at the Fermi level is 16.7 states/eV/f.u.

---

Material: KLaZn2Ir
Method: DFT, PBE
State: relaxed

Geometry as POSCAR:
```
KLaZn2Ir
1.0
-0.241 -3.633 3.617
2.682 -3.175 -3.011
4.480 1.793 2.099
Zn La K Ir
2 1 1 1
Direct
0.500 0.000 0.000 Zn
0.000 0.500 0.000 Zn
0.000 0.000 0.500 La
0.500 0.500 0.500 K
0.000 0.000 0.000 Ir
```

As for the symmetry: P4/mmm, No. 123. Its formation energy is -0.19 eV/atom. The density of states at the Fermi level is 1.5 states/eV/f.u.

---

Material: AcDyErTm
Method: DFT, PBE
State: relaxed

Geometry as POSCAR:
```
AcDyErTm
1.0
3.658 -0.001 0.000
-1.829 3.169 0.003
-1.823 -1.063 11.713
Er Ac Tm Dy
1 1 1 1
Direct
0.303 0.549 0.868 Er
0.969 0.382 0.367 Ac
0.128 0.962 0.104 Tm
0.478 0.137 0.631 Dy
```

As for the symmetry: R3m, No. 160. Its formation energy is 0.08 eV/atom. The density of states at the Fermi level is 5.6 states/eV/f.u.

---

Material: Er4Co2Ge
Method: DFT, PBE
State: relaxed

Geometry as POSCAR:
```
Er4Co2Ge
1.0
7.474 -1.089 -0.150
-1.625 7.376 0.150
-2.811 -3.250 6.214
Er Co Ge
8 4 2
Direct
0.856 0.670 0.185 Er
0.765 0.079 0.686 Er
0.394 0.079 0.314 Er
0.920 0.606 0.685 Er
0.329 0.144 0.814 Er
0.921 0.235 0.315 Er
0.485 0.671 0.815 Er
0.330 0.515 0.186 Er
0.125 0.375 0.750 Co
0.625 0.374 0.250 Co
0.625 0.875 0.250 Co
0.625 0.375 0.750 Co
0.001 0.001 0.000 Ge
0.249 0.749 0.500 Ge
```

As for the symmetry: Imma, No. 74. Its formation energy is -0.18 eV/atom. The density of states at the Fermi level is 5.6 states/eV/f.u.

---

Material: SrCa2CdF
Method: DFT, PBE
State: relaxed

Geometry as POSCAR:
```
SrCa2CdF
1.0
-3.260 -3.266 1.835
-1.744 -0.829 -4.575
3.565 -3.922 -0.648
F Cd Ca Sr
1 1 2 1
Direct
0.000 0.000 0.000 F
0.500 0.500 0.500 Cd
0.000 0.500 0.000 Ca
0.500 0.000 0.000 Ca
0.000 0.000 0.500 Sr
```

As for the symmetry: P4/mmm, No. 123. The value obtained for the energy relative to the elements, uncorrected is -1.14 eV/atom. The density of states at the Fermi level is 3.4 states/eV/f.u.

---

Number 1: magnetization 0.00 μB per formula unit, VASP energy -107.646 eV per cell. Number 2: magnetization 0.00 μB per formula unit, VASP energy -46.571 eV per cell. Number 3: magnetization 1.17 μB per formula unit, VASP energy -161.169 eV per cell. Number 4: magnetization 0.00 μB per formula unit, VASP energy -60.602 eV per cell. Number 5: magnetization 0.00 μB per formula unit, VASP energy -40.396 eV per cell. Number 6: magnetization 0.40 μB per formula unit, VASP energy -39.793 eV per cell. Number 7: magnetization 2.98 μB per formula unit, VASP energy -60.674 eV per cell. Number 8: magnetization 11.34 μB per formula unit, VASP energy -74.963 eV per cell. Number 9: magnetization 0.00 μB per formula unit, VASP energy -18.403 eV per cell. Number 10: magnetization 0.00 μB per formula unit, VASP energy -17.431 eV per cell. Number 11: magnetization 0.00 μB per formula unit, VASP energy -76.710 eV per cell. Number 12: magnetization 0.00 μB per formula unit, VASP energy -14.179 eV per cell.